EuAlAu: relaxed, PBE-GGA.

a = 4.053 Å, b = 4.546 Å, c = 4.546 Å
α = 120.00°, β = 90.00°, γ = 90.00°
Sites, in units of the cell vectors:
Au: 0.167 0.000 0.000
Al: 0.167 0.333 0.667
Eu: 0.667 0.667 0.333

Output
Theoretical density   8.61 g/cm3
Total energy   -6.407 eV/atom
Formation enthalpy at 0 K   -0.642 eV per atom
Space-group type   No. 187